# 1
Here is Mg2Pd5Au5 after structural relaxation from Alexandria. Energies are from PBE-GGA.

Unit cell a=6.4582 b=6.4582 c=9.0474 alpha=115.77 beta=115.77 gamma=36.47
Fractional positions:
Mg  0.1553  0.1553  0.4980
Mg  0.8447  0.8447  0.5020
Pd  0.3340  0.3340  0.9999
Pd  0.4099  0.4099  0.7401
Pd  0.5000  0.5000  0.5000
Pd  0.5901  0.5901  0.2599
Pd  0.6660  0.6660  0.0001
Au  0.0000  0.0000  0.0000
Au  0.0832  0.0832  0.7524
Au  0.2498  0.2498  0.2564
Au  0.7502  0.7502  0.7436
Au  0.9168  0.9168  0.2476

Computed properties:
E above lowest polymorph = 30 meV/atom
electronic total energy = -49.750 eV for the cell shown
ΔE_f = -4.21 eV per formula unit
Fermi-level density of states = 4.8 states/eV/f.u.

=====

# 2
Here is CaMg2Al2 after structural relaxation from Alexandria. Energies are from PBE-GGA.

Unit cell a=8.2101 b=8.2101 c=3.4218 alpha=90.00 beta=90.00 gamma=90.00
Fractional positions:
Ca  0.0000  0.0000  0.0000
Ca  0.5000  0.5000  0.0000
Mg  0.1739  0.3261  0.5000
Mg  0.3261  0.8261  0.5000
Mg  0.6739  0.1739  0.5000
Mg  0.8261  0.6739  0.5000
Al  0.1200  0.6200  0.0000
Al  0.3800  0.1200  0.0000
Al  0.6200  0.8800  0.0000
Al  0.8800  0.3800  0.0000

Computed properties:
electronic total energy = -25.631 eV for the cell shown
ΔE_f = -0.14 eV per formula unit
Fermi-level density of states = 3.1 states/eV/f.u.

=====

# 3
Here is K2CdIrPt after structural relaxation from Alexandria. Energies are from PBE-GGA.

Unit cell a=6.1105 b=6.1105 c=5.1819 alpha=90.00 beta=90.00 gamma=90.00
Fractional positions:
K  0.0000  0.5000  0.0000
K  0.5000  0.0000  0.0000
Cd  0.0000  0.0000  0.5000
Ir  0.5000  0.5000  0.5000
Pt  0.0000  0.0000  0.0000

Computed properties:
electronic total energy = -13.478 eV for the cell shown
ΔE_f = 4.53 eV per formula unit
Fermi-level density of states = 0.8 states/eV/f.u.

=====

Repeat the second record exactly.
Here is CaMg2Al2 after structural relaxation from Alexandria. Energies are from PBE-GGA.

Unit cell a=8.2101 b=8.2101 c=3.4218 alpha=90.00 beta=90.00 gamma=90.00
Fractional positions:
Ca  0.0000  0.0000  0.0000
Ca  0.5000  0.5000  0.0000
Mg  0.1739  0.3261  0.5000
Mg  0.3261  0.8261  0.5000
Mg  0.6739  0.1739  0.5000
Mg  0.8261  0.6739  0.5000
Al  0.1200  0.6200  0.0000
Al  0.3800  0.1200  0.0000
Al  0.6200  0.8800  0.0000
Al  0.8800  0.3800  0.0000

Computed properties:
electronic total energy = -25.631 eV for the cell shown
ΔE_f = -0.14 eV per formula unit
Fermi-level density of states = 3.1 states/eV/f.u.